No. 1
The following is a PBE calculation of an optimized crystal structure of LaB3P, from Alexandria via LeMat-Bulk.

Geometry as POSCAR:
```
LaB3P
1.0
4.819 0.000 0.000
0.000 4.819 0.000
0.000 0.000 4.819
P B La
1 3 1
Cartesian
2.410 2.410 2.410
0.000 2.410 0.000
0.000 0.000 2.410
2.410 0.000 0.000
0.000 0.000 0.000
```

Results
- space-group type = Pm-3m (221)
- magnetic moment (μB/cell) = 0.00
- Fermi-level density of states (states/eV/atom) = 0.652
- calculated volume (Å³/atom) = 22.38



No. 2
The following is a PBE calculation of an optimized crystal structure of LaBP2, from Alexandria via LeMat-Bulk.

Geometry as POSCAR:
```
LaBP2
1.0
6.517 0.000 0.000
0.000 6.517 0.000
3.259 3.259 3.402
P B La
4 2 2
Cartesian
4.143 1.629 0.850
2.375 4.888 0.850
4.888 5.633 2.551
8.147 7.401 2.551
3.259 3.259 0.000
3.259 6.517 1.701
0.000 0.000 0.000
6.517 3.259 1.701
```

Results
- space-group type = I-42d (122)
- magnetic moment (μB/cell) = 0.00
- Fermi-level density of states (states/eV/atom) = 0.070
- calculated volume (Å³/atom) = 18.06



No. 3
The following is a PBE calculation of an optimized crystal structure of LaB3P, from Alexandria via LeMat-Bulk.

Geometry as POSCAR:
```
LaB3P
1.0
-2.830 2.771 -0.702
-1.536 -2.307 -2.915
-2.411 -1.783 2.682
P B La
1 3 1
Cartesian
0.000 0.000 0.000
-0.768 -1.154 -1.458
-1.205 -0.892 1.341
-1.415 1.386 -0.351
-3.389 -0.660 -0.467
```

Results
- space-group type = Pm-3m (221)
- magnetic moment (μB/cell) = 0.00
- Fermi-level density of states (states/eV/atom) = 0.403
- calculated volume (Å³/atom) = 13.02



Number 1: energy of formation 13.26 eV per formula unit. Number 2: energy of formation -2.51 eV per formula unit. Number 3: energy of formation 3.41 eV per formula unit.